No. 1
Below is a relaxed structure of CoReSi2, with properties calculated at the PBE-GGA level.

Lattice parameters (Å, degrees): 5.240 5.240 5.240 106.78 106.78 115.00
Element x y z (fractional)
Co  0.000  0.000  0.000
Co  0.750  0.250  0.500
Re  0.250  0.750  0.500
Re  0.500  0.500  0.000
Si  0.089  0.625  0.964
Si  0.375  0.339  0.464
Si  0.661  0.125  0.036
Si  0.875  0.911  0.536

Energy above the most stable polymorph in this dataset ... 0.632 eV/atom
Space-group type ... I-42d, No. 122
Total DFT energy (no corrections) ... -58.06 eV/cell
Formation energy from raw total energies ... 0.34 eV/atom

=====

No. 2
Below is a relaxed structure of Ni8IrPt2, with properties calculated at the PBE-GGA level.

Lattice parameters (Å, degrees): 4.470 4.472 6.870 96.42 90.84 99.22
Element x y z (fractional)
Ni  0.045  0.273  0.092
Ni  0.236  0.367  0.456
Ni  0.318  0.902  0.638
Ni  0.410  0.459  0.820
Ni  0.590  0.541  0.180
Ni  0.682  0.098  0.362
Ni  0.764  0.633  0.544
Ni  0.955  0.727  0.908
Ir  0.500  0.000  0.000
Pt  0.133  0.815  0.279
Pt  0.867  0.185  0.721

Formation energy from the elements ... -0.380 eV per formula unit
Space-group type ... P-1, No. 2
Total DFT energy (no corrections) ... -67.57 eV/cell

=====

No. 3
Below is a relaxed structure of CrRuSe2Br, with properties calculated at the PBE-GGA level.

Lattice parameters (Å, degrees): 4.603 4.603 4.928 90.00 90.00 90.00
Element x y z (fractional)
Cr  0.000  0.000  0.000
Ru  0.500  0.500  0.500
Se  0.000  0.500  0.000
Se  0.500  0.000  0.000
Br  0.000  0.000  0.500

Energy above the most stable polymorph in this dataset ... 0.000 eV/atom
Space-group type ... P4/mmm, No. 123
Total DFT energy (no corrections) ... -23.10 eV/cell
Formation energy from raw total energies ... 0.89 eV/atom

=====

No. 4
Below is a relaxed structure of Y2CoMo, with properties calculated at the PBE-GGA level.

Lattice parameters (Å, degrees): 8.859 8.859 8.859 21.82 21.82 21.82
Element x y z (fractional)
Y  0.243  0.243  0.243
Y  0.757  0.757  0.757
Co  0.500  0.500  0.500
Mo  0.000  0.000  0.000

Energy above the most stable polymorph in this dataset ... 0.449 eV/atom
Formation energy from the elements ... 2.106 eV per formula unit
Space-group type ... R-3m, No. 166
Total DFT energy (no corrections) ... -28.76 eV/cell

=====

No. 5
Below is a relaxed structure of AcDy2HoBi4, with properties calculated at the PBE-GGA level.

Lattice parameters (Å, degrees): 7.929 4.585 7.932 90.00 109.44 90.00
Element x y z (fractional)
Ac  0.000  0.000  0.000
Dy  0.000  0.500  0.500
Dy  0.500  0.000  0.500
Ho  0.500  0.500  0.000
Bi  0.258  0.000  0.743
Bi  0.266  0.500  0.265
Bi  0.734  0.500  0.735
Bi  0.742  0.000  0.257

Formation energy from the elements ... -6.866 eV per formula unit
Space-group type ... P2/m, No. 10
Total DFT energy (no corrections) ... -40.28 eV/cell

=====

No. 6
Below is a relaxed structure of BPbF2, with properties calculated at the PBE-GGA level.

Lattice parameters (Å, degrees): 4.402 4.402 4.402 60.00 60.00 60.00
Element x y z (fractional)
B  0.000  0.000  0.000
Pb  0.500  0.500  0.500
F  0.250  0.250  0.250
F  0.750  0.750  0.750

Energy above the most stable polymorph in this dataset ... 0.523 eV/atom
Space-group type ... Fm-3m, No. 225
Total DFT energy (no corrections) ... -15.45 eV/cell
Formation energy from raw total energies ... -0.33 eV/atom

=====

No. 7
Below is a relaxed structure of Nd2ThIn2Hg2, with properties calculated at the PBE-GGA level.

Lattice parameters (Å, degrees): 9.610 9.610 9.610 30.11 30.11 30.11
Element x y z (fractional)
Nd  0.130  0.130  0.130
Nd  0.870  0.870  0.870
Th  0.000  0.000  0.000
In  0.271  0.271  0.271
In  0.729  0.729  0.729
Hg  0.418  0.418  0.418
Hg  0.582  0.582  0.582

Formation energy from the elements ... -1.538 eV per formula unit
Space-group type ... R-3m, No. 166
Total DFT energy (no corrections) ... -24.57 eV/cell